Entry 1:
This record from Alexandria via LeMat-Bulk describes BaLi2TlAu after structural relaxation. The functional is PBE-GGA.

Cell lengths 5.152, 5.152, 5.601 Å; angles 90.00, 90.00, 90.00 degrees
Sites, in units of the cell vectors:
Tl1 0.000 0.000 0.500
Au1 0.000 0.000 0.000
Ba1 0.500 0.500 0.500
Li1 0.000 0.500 0.000
Li2 0.500 0.000 0.000

Values from the calculation:
**Energy of formation from the pure elements**: -1.2 eV/f.u.
**Uncorrected energy**: -2.52 eV per atom

Entry 2:
This record from Alexandria via LeMat-Bulk describes Ag2TePd after structural relaxation. The functional is PBE-GGA.

Cell lengths 4.573, 4.092, 4.092 Å; angles 90.00, 90.00, 90.00 degrees
Sites, in units of the cell vectors:
Te1 0.500 0.500 0.500
Pd1 0.500 0.000 0.000
Ag1 0.000 0.000 0.500
Ag2 0.000 0.500 0.000

Values from the calculation:
**E_form (uncorrected)**: -0.25 eV per formula unit
**Uncorrected energy**: -3.57 eV per atom

Entry 3:
This record from Alexandria via LeMat-Bulk describes KRb3H4 after structural relaxation. The functional is PBE-GGA.

Cell lengths 4.170, 7.238, 7.238 Å; angles 70.64, 90.06, 90.06 degrees
Sites, in units of the cell vectors:
K1 0.500 0.500 0.000
Rb1 0.500 0.000 0.500
Rb2 0.000 0.000 0.000
Rb3 0.000 0.500 0.500
H1 0.000 0.742 0.758
H2 0.500 0.746 0.246
H3 0.000 0.258 0.242
H4 0.500 0.254 0.754

Values from the calculation:
**Uncorrected energy**: -2.36 eV per atom

Number 1: calculated volume 29.7 A^3/atom. Number 2: calculated volume 19.1 A^3/atom. Number 3: calculated volume 25.8 A^3/atom.